Entry from Alexandria via LeMat-Bulk: crystalline PmNd3Pb2 at its relaxed geometry (GGA-PBE).

Cell: 7.6029 7.8388 9.2819 Å, 114.98 114.18 90.00°
Closest atoms and distances in Å follow each position.
Atoms (fractional coordinates):
Pm: 0.0000 0.5000 0.0000  2 Pb 3.22
Pm: 0.0000 0.0000 0.0000  2 Pb 3.22
Nd: 0.5000 0.2500 0.0000  4 Pb 3.21
Nd: 0.5000 0.7500 0.0000  4 Pb 3.21
Nd: 0.7890 0.0390 0.5779  4 Pb 3.26-3.28
Nd: 0.2110 0.4610 0.4221  4 Pb 3.26-3.28
Nd: 0.2110 0.9610 0.4221  4 Pb 3.26-3.28
Nd: 0.7890 0.5390 0.5779  4 Pb 3.26-3.28
Pb: 0.5412 0.3582 0.7164  6 Nd 3.21-3.28, 1 Pm 3.22
Pb: 0.8248 0.1418 0.2836  6 Nd 3.21-3.28, 1 Pm 3.22
Pb: 0.1752 0.8582 0.7164  6 Nd 3.21-3.28, 1 Pm 3.22
Pb: 0.4588 0.6418 0.2836  6 Nd 3.21-3.28, 1 Pm 3.22

Output
formation energy from the elements = -0.199 eV/atom
SG = No. 72
Fermi-level density of states = 17.331 states/eV/cell
ΔE to the lowest computed polymorph = 245 meV per atom
DFT total energy = -4.6105 eV per atom

Entry from Alexandria via LeMat-Bulk: crystalline AgRhBr2 at its relaxed geometry (GGA-PBE).

Cell: 3.9857 3.9857 6.9673 Å, 73.48 73.48 59.93°
Closest atoms and distances in Å follow each position.
Atoms (fractional coordinates):
Rh: 0.7500 0.7500 0.7500  6 Br 2.73-2.74
Br: 0.0097 0.0097 0.9740  3 Rh 2.73-2.74, 3 Ag 2.92-2.94
Br: 0.4903 0.4903 0.5260  3 Rh 2.73-2.74, 3 Ag 2.92-2.94
Ag: 0.2500 0.2500 0.2500  6 Br 2.92-2.94

Output
SG = No. 12
Fermi-level density of states = 1.133 states/eV/cell
ΔE to the lowest computed polymorph = 235 meV per atom
DFT total energy = -3.2317 eV per atom

Entry from Alexandria via LeMat-Bulk: crystalline HgTe3 at its relaxed geometry (GGA-PBE).

Cell: 4.5100 3.1733 9.0569 Å, 104.59 90.00 90.00°
Closest atoms and distances in Å follow each position.
Atoms (fractional coordinates):
Hg: 0.0000 0.0000 0.0000  4 Te 3.12, 2 Hg 3.17
Te: 0.5000 0.7195 0.7561  2 Hg 3.12, 4 Te 3.17-3.18
Te: 0.0000 0.5000 0.5000  6 Te 3.17-3.18
Te: 0.5000 0.2805 0.2439  2 Hg 3.12, 4 Te 3.17-3.18

Output
SG = No. 10
Fermi-level density of states = 1.500 states/eV/cell
DFT total energy = -2.3970 eV per atom

Entry from Alexandria via LeMat-Bulk: crystalline ReAg2BiIr at its relaxed geometry (GGA-PBE).

Cell: 5.0621 5.1664 5.0621 Å, 90.00 90.00 90.00°
Closest atoms and distances in Å follow each position.
Atoms (fractional coordinates):
Re: 0.0000 0.5000 0.0000  2 Bi 2.58
Ir: 0.5000 0.5000 0.5000  4 Re 3.58, 8 Ag 3.62
Bi: 0.0000 0.0000 0.0000  4 Ag 2.53, 2 Re 2.58
Ag: 0.0000 0.0000 0.5000  2 Bi 2.53
Ag: 0.5000 0.0000 0.0000  2 Bi 2.53

Output
formation energy from the elements = 2.313 eV/atom
SG = No. 123
Fermi-level density of states = 5.981 states/eV/cell
DFT total energy = -3.8650 eV per atom

Entry from Alexandria via LeMat-Bulk: crystalline Zr2TaGe at its relaxed geometry (GGA-PBE).

Cell: 7.8664 7.8664 6.1933 Å, 50.57 50.57 90.00°
Closest atoms and distances in Å follow each position.
Atoms (fractional coordinates):
Ge: 0.5000 0.5000 0.0000  4 Zr 2.71, 2 Ta 2.72
Ge: 0.2500 0.7500 0.5000  4 Zr 2.71, 2 Ta 2.72
Zr: 0.5953 0.1250 0.2500  2 Ge 2.71, 2 Zr 2.76, 2 Ta 3.03
Zr: 0.1547 0.6250 0.2500  2 Ge 2.71, 2 Zr 2.76, 2 Ta 3.03
Zr: 0.3750 0.4047 0.7500  2 Ge 2.71, 2 Zr 2.76, 2 Ta 3.03
Zr: 0.8750 0.8453 0.7500  2 Ge 2.71, 2 Zr 2.76, 2 Ta 3.03
Ta: 0.0000 0.0000 0.0000  2 Ge 2.72, 4 Zr 3.03
Ta: 0.7500 0.2500 0.5000  2 Ge 2.72, 4 Zr 3.03

Output
formation energy from the elements = 0.241 eV/atom
SG = No. 122
Fermi-level density of states = 6.513 states/eV/cell
DFT total energy = -8.1509 eV per atom

Entry from Alexandria via LeMat-Bulk: crystalline MgZrI at its relaxed geometry (GGA-PBE).

Cell: 3.8059 3.7975 12.1394 Å, 82.59 89.87 90.00°
Closest atoms and distances in Å follow each position.
Atoms (fractional coordinates):
Mg: 0.0157 0.0839 0.2065  5 Zr 3.09-3.12, 4 Mg 3.17, 1 I 3.27
Mg: 0.5166 0.6421 0.0672  4 I 3.13, 4 Mg 3.17, 1 Zr 3.20
Zr: 0.0138 0.9769 0.4660  4 I 3.12, 1 Mg 3.12, 4 Zr 3.13
Zr: 0.5148 0.5318 0.3332  5 Mg 3.09-3.20, 4 Zr 3.13, 1 I 3.18
I: 0.5128 0.4228 0.5973  5 Zr 3.12-3.18
I: 0.0178 0.1965 0.9345  5 Mg 3.13-3.27

Output
SG = No. 1
Fermi-level density of states = 5.559 states/eV/cell
ΔE to the lowest computed polymorph = 1 meV per atom
DFT total energy = -4.1990 eV per atom

Entry from Alexandria via LeMat-Bulk: crystalline Tb12Pm5Th2 at its relaxed geometry (GGA-PBE).

Cell: 6.8165 13.5814 11.5473 Å, 138.52 75.22 116.40°
Closest atoms and distances in Å follow each position.
Atoms (fractional coordinates):
Tb: 0.0649 0.2291 0.4036  4 Pm 3.45-3.85, 6 Tb 3.47-3.76, 2 Th 3.53-3.61
Tb: 0.1062 0.7069 0.0312  2 Pm 3.29-3.42, 6 Tb 3.39-3.67, 1 Th 3.46
Tb: 0.6961 0.8261 0.1073  6 Tb 3.44-3.67, 3 Pm 3.50-3.85, 2 Th 3.57-3.69
Tb: 0.1585 0.4673 0.3297  7 Tb 3.39-3.69, 1 Th 3.50, 4 Pm 3.52-3.65
Tb: 0.6754 0.5819 0.1863  6 Tb 3.49-3.85, 5 Pm 3.52-3.77
Tb: 0.5151 0.8783 0.6523  3 Pm 3.41-3.64, 2 Th 3.47-3.52, 5 Tb 3.48-3.60
Tb: 0.4849 0.1217 0.3477  3 Pm 3.41-3.64, 2 Th 3.47-3.52, 5 Tb 3.48-3.60
Tb: 0.8415 0.5327 0.6703  7 Tb 3.39-3.69, 1 Th 3.50, 4 Pm 3.52-3.65
Tb: 0.3246 0.4181 0.8137  6 Tb 3.49-3.85, 5 Pm 3.52-3.77
Tb: 0.8938 0.2931 0.9688  2 Pm 3.29-3.42, 6 Tb 3.39-3.67, 1 Th 3.46
Tb: 0.3039 0.1739 0.8927  6 Tb 3.44-3.67, 3 Pm 3.50-3.85, 2 Th 3.57-3.69
Tb: 0.9351 0.7709 0.5964  4 Pm 3.45-3.85, 6 Tb 3.47-3.76, 2 Th 3.53-3.61
Pm: 0.4295 0.6462 0.7175  9 Tb 3.42-3.76, 2 Th 3.54-3.56, 1 Pm 3.60
Pm: 0.2799 0.7364 0.3002  6 Tb 3.29-3.63, 1 Pm 3.64
Pm: 0.0000 0.0000 0.5000  10 Tb 3.52-3.85, 2 Pm 3.64
Pm: 0.7201 0.2636 0.6998  6 Tb 3.29-3.63, 1 Pm 3.64
Pm: 0.5705 0.3538 0.2825  9 Tb 3.42-3.76, 2 Th 3.54-3.56, 1 Pm 3.60
Th: 0.7982 0.0582 0.0235  8 Tb 3.46-3.69, 2 Th 3.49-3.67, 2 Pm 3.54-3.56
Th: 0.2018 0.9418 0.9765  8 Tb 3.46-3.69, 2 Th 3.49-3.67, 2 Pm 3.54-3.56

Output
formation energy from the elements = 0.061 eV/atom
SG = No. 2
Fermi-level density of states = 27.817 states/eV/cell
ΔE to the lowest computed polymorph = 0 meV per atom
DFT total energy = -4.8945 eV per atom

Entry from Alexandria via LeMat-Bulk: crystalline BaMn2Cl at its relaxed geometry (GGA-PBE).

Cell: 3.7579 3.7579 7.6882 Å, 90.00 90.00 90.00°
Closest atoms and distances in Å follow each position.
Atoms (fractional coordinates):
Mn: 0.0000 0.0000 0.9307  1 Mn 2.78, 4 Cl 3.00
Mn: 0.0000 0.0000 0.5693  1 Mn 2.78, 4 Cl 3.00
Ba: 0.5000 0.5000 0.2500  8 Mn 3.62, 4 Ba 3.76, 2 Cl 3.84
Cl: 0.5000 0.5000 0.7500  8 Mn 3.00

Output
SG = No. 123
Fermi-level density of states = 3.195 states/eV/cell
ΔE to the lowest computed polymorph = 418 meV per atom
DFT total energy = -5.1010 eV per atom

Entry from Alexandria via LeMat-Bulk: crystalline Pm4Pt at its relaxed geometry (GGA-PBE).

Cell: 5.6350 5.6350 5.6350 Å, 90.00 90.00 90.00°
Closest atoms and distances in Å follow each position.
Atoms (fractional coordinates):
Pt: 0.5000 0.5000 0.5000  6 Pm 2.82
Pm: 0.0000 0.0000 0.0000  12 Pm 3.98
Pm: 0.5000 0.0000 0.5000  2 Pt 2.82
Pm: 0.0000 0.5000 0.5000  2 Pt 2.82
Pm: 0.5000 0.5000 0.0000  2 Pt 2.82

Output
formation energy from the elements = -0.267 eV/atom
SG = No. 221
Fermi-level density of states = 10.783 states/eV/cell
ΔE to the lowest computed polymorph = 152 meV per atom
DFT total energy = -5.2755 eV per atom

Entry from Alexandria via LeMat-Bulk: crystalline La4PmY3 at its relaxed geometry (GGA-PBE).

Cell: 5.1926 10.3444 10.3806 Å, 90.00 90.00 90.00°
Closest atoms and distances in Å follow each position.
Atoms (fractional coordinates):
Y: 0.5644 0.6194 0.0000  6 Y 3.58-3.67, 2 Pm 3.58, 4 La 3.70-3.71
Y: 0.0644 0.6186 0.2502  5 Y 3.57-3.67, 3 Pm 3.57-3.67, 4 La 3.70-3.71
Y: 0.5644 0.3814 0.2498  5 Y 3.57-3.67, 3 Pm 3.57-3.67, 4 La 3.70-3.71
Y: 0.0644 0.3806 0.5000  6 Y 3.58-3.67, 2 Pm 3.58, 4 La 3.70-3.71
Y: 0.5644 0.3814 0.7502  5 Y 3.57-3.67, 3 Pm 3.57-3.67, 4 La 3.70-3.71
Y: 0.0644 0.6186 0.7498  5 Y 3.57-3.67, 3 Pm 3.57-3.67, 4 La 3.70-3.71
Pm: 0.0644 0.3813 0.0000  8 Y 3.57-3.67, 4 La 3.70
Pm: 0.5644 0.6187 0.5000  8 Y 3.57-3.67, 4 La 3.70
La: 0.0644 0.8738 0.0000  8 La 3.67-3.68, 4 Y 3.70
La: 0.5644 0.1265 0.0000  8 La 3.66-3.68, 2 Y 3.70, 2 Pm 3.70
La: 0.0644 0.1255 0.2491  8 La 3.66-3.68, 1 Pm 3.70, 3 Y 3.71
La: 0.5644 0.8745 0.2509  8 La 3.66-3.68, 1 Pm 3.70, 3 Y 3.71
La: 0.0644 0.8735 0.5000  8 La 3.66-3.68, 2 Y 3.70, 2 Pm 3.70
La: 0.5644 0.1262 0.5000  8 La 3.67-3.68, 4 Y 3.70
La: 0.5644 0.8745 0.7491  8 La 3.66-3.68, 1 Pm 3.70, 3 Y 3.71
La: 0.0644 0.1255 0.7509  8 La 3.66-3.68, 1 Pm 3.70, 3 Y 3.71

Output
formation energy from the elements = 0.023 eV/atom
SG = No. 59
Fermi-level density of states = 28.023 states/eV/cell
ΔE to the lowest computed polymorph = 0 meV per atom
DFT total energy = -5.4586 eV per atom

Entry from Alexandria via LeMat-Bulk: crystalline BaReRh at its relaxed geometry (GGA-PBE).

Cell: 7.0194 7.0194 7.0194 Å, 153.98 153.98 37.13°
Closest atoms and distances in Å follow each position.
Atoms (fractional coordinates):
Ba: 0.0009 0.0009 0.0000  4 Ba 3.16, 4 Re 3.48, 4 Rh 3.51
Re: 0.7018 0.7018 0.0000  4 Rh 2.57
Rh: 0.2973 0.2973 0.0000  4 Re 2.57

Output
formation energy from the elements = 0.599 eV/atom
SG = No. 107
Fermi-level density of states = 2.878 states/eV/cell
ΔE to the lowest computed polymorph = 477 meV per atom
DFT total energy = -6.6415 eV per atom

Entry from Alexandria via LeMat-Bulk: crystalline ErGaCo3 at its relaxed geometry (GGA-PBE).

Cell: 4.3775 8.5092 8.5092 Å, 148.82 90.00 90.00°
Closest atoms and distances in Å follow each position.
Atoms (fractional coordinates):
Er: 0.7500 0.5815 0.4185  6 Co 2.67-2.87
Er: 0.2500 0.4185 0.5815  6 Co 2.67-2.87
Ga: 0.7500 0.8613 0.1387  4 Co 2.50-2.52
Ga: 0.2500 0.1387 0.8613  4 Co 2.50-2.52
Co: 0.7500 0.4672 0.0128  4 Co 2.19-2.38
Co: 0.7500 0.9872 0.5328  4 Co 2.19-2.38
Co: 0.2500 0.0128 0.4672  4 Co 2.19-2.38
Co: 0.2500 0.5328 0.9872  4 Co 2.19-2.38
Co: 0.0000 0.0000 0.0000  2 Co 2.19
Co: 0.5000 0.0000 0.0000  2 Co 2.19

Output
formation energy from the elements = 0.082 eV/atom
SG = No. 63
Fermi-level density of states = 7.514 states/eV/cell
DFT total energy = -5.6995 eV per atom

Entry from Alexandria via LeMat-Bulk: crystalline MgZrSb2Ru at its relaxed geometry (GGA-PBE).

Cell: 5.1595 4.4519 5.1595 Å, 90.00 90.00 90.00°
Closest atoms and distances in Å follow each position.
Atoms (fractional coordinates):
Sb: 0.0000 0.0000 0.5000  2 Mg 2.58
Sb: 0.5000 0.0000 0.0000  2 Mg 2.58
Mg: 0.0000 0.0000 0.0000  2 Ru 2.23
Zr: 0.5000 0.5000 0.5000  8 Sb 3.41, 4 Ru 3.65
Ru: 0.0000 0.5000 0.0000  2 Mg 2.23

Output
SG = No. 123
Fermi-level density of states = 4.984 states/eV/cell
DFT total energy = -4.7002 eV per atom